# 1
A plane-wave DFT calculation with PBE was carried out for a relaxed Th3SbP2Rh8 crystal.

Structure (POSCAR):
```
Th3SbP2Rh8
1.0
5.528 0.000 0.000
-2.764 4.788 0.000
0.000 0.000 9.707
Th Sb P Rh
3 1 2 8
Cartesian
0.000 0.000 0.000
0.000 3.192 5.699
2.764 1.596 4.008
0.000 0.000 4.853
0.000 3.192 0.963
2.764 1.596 8.744
0.000 1.603 2.618
-1.376 3.986 2.618
0.000 3.192 8.407
1.388 0.801 7.089
1.376 3.986 2.618
2.764 1.596 1.300
4.140 0.801 7.089
2.764 3.185 7.089
```

Computed properties:
Raw total energy ... -7.65 eV/atom

# 2
A plane-wave DFT calculation with PBE was carried out for a relaxed Y2MnAl crystal.

Structure (POSCAR):
```
Y2MnAl
1.0
4.867 -1.742 0.000
4.867 1.742 0.000
-1.220 0.000 5.872
Y Mn Al
2 1 1
Cartesian
2.107 0.000 1.457
6.407 0.000 4.415
-0.610 0.000 2.936
4.867 0.000 0.000
```

Computed properties:
Raw total energy ... -6.28 eV/atom
Energy of formation ... 0.715 eV/f.u.

# 3
A plane-wave DFT calculation with PBE was carried out for a relaxed LaMo2Br crystal.

Structure (POSCAR):
```
LaMo2Br
1.0
3.058 0.000 0.000
0.000 3.058 0.000
0.000 0.000 8.738
La Mo Br
1 2 1
Cartesian
0.000 0.000 0.000
1.529 1.529 2.584
1.529 1.529 6.154
0.000 0.000 4.369
```

Computed properties:
Raw total energy ... -6.07 eV/atom
Relative energy among the computed polymorphs ... 1.021 eV/atom

# 4
A plane-wave DFT calculation with PBE was carried out for a relaxed PmSm2 crystal.

Structure (POSCAR):
```
PmSm2
1.0
1.833 1.058 8.793
-1.833 1.058 8.793
0.000 -2.116 8.793
Pm Sm
1 2
Cartesian
0.000 0.000 0.000
0.000 0.000 5.862
0.000 0.000 20.516
```

Computed properties:
Raw total energy ... -4.72 eV/atom
Energy of formation ... 0.018 eV/f.u.
Relative energy among the computed polymorphs ... 0.000 eV/atom